## Mg2ScTc (PBE-GGA)

Data for Mg2ScTc after structural relaxation.

Cell: 6.649 6.649 6.649 Å, 90.00 90.00 90.00°
Space group Fm-3m (No. 225)
Inequivalent atoms, fractional coordinates:
Mg1 0.250 0.250 0.250 (multiplicity 8)
Sc1 0.000 0.000 0.000 (multiplicity 4)
Tc1 0.000 0.000 0.500 (multiplicity 4)

Values from the calculation:
energy above the most stable polymorph in this dataset: 0.1731 eV/atom
formation enthalpy at 0 K: 0.19 eV/atom
crystal system: cubic

## Ti11Zn9Au4 (PBE-GGA)

Data for Ti11Zn9Au4 after structural relaxation.

Cell: 12.835 20.659 2.946 Å, 90.00 90.00 90.00°
Space group Cmmm (No. 65)
Inequivalent atoms, fractional coordinates:
Ti1 0.000 0.000 0.000 (multiplicity 2)
Ti2 0.000 0.182 0.000 (multiplicity 4)
Ti3 0.000 0.365 0.000 (multiplicity 4)
Ti4 0.221 0.182 0.000 (multiplicity 8)
Ti5 0.223 0.000 0.000 (multiplicity 4)
Zn1 0.000 0.500 0.500 (multiplicity 2)
Zn2 0.108 0.273 0.500 (multiplicity 8)
Zn3 0.110 0.090 0.500 (multiplicity 8)
Au1 0.167 0.408 0.500 (multiplicity 8)

Values from the calculation:
formation enthalpy at 0 K: -0.23 eV/atom
crystal system: orthorhombic

## Cs2HfClF6 (PBE-GGA)

Data for Cs2HfClF6 after structural relaxation.

Cell: 6.849 6.849 10.277 Å, 90.00 90.00 90.00°
Space group I4/mmm (No. 139)
Inequivalent atoms, fractional coordinates:
Cs1 0.000 0.500 0.250 (multiplicity 4)
Hf1 0.000 0.000 0.000 (multiplicity 2)
Cl1 0.000 0.000 0.500 (multiplicity 2)
F1 0.000 0.000 0.195 (multiplicity 4)
F2 0.207 0.207 0.000 (multiplicity 8)

Values from the calculation:
formation energy (no corrections): -2.954 eV/atom
crystal system: tetragonal

## Ac3NiHg2 (PBE-GGA)

Data for Ac3NiHg2 after structural relaxation.

Cell: 13.344 4.247 13.540 Å, 90.00 90.00 90.00°
Space group Pnma (No. 62)
Inequivalent atoms, fractional coordinates:
Ac1 0.045 0.250 0.132 (multiplicity 4)
Ac2 0.125 0.750 0.544 (multiplicity 4)
Ac3 0.234 0.250 0.791 (multiplicity 4)
Ni1 0.135 0.250 0.378 (multiplicity 4)
Hg1 0.010 0.750 0.317 (multiplicity 4)
Hg2 0.184 0.750 0.990 (multiplicity 4)

Values from the calculation:
energy above the most stable polymorph in this dataset: 0.0000 eV/atom
formation enthalpy at 0 K: -0.36 eV/atom
crystal system: orthorhombic

For reference, final energy by record: -4.781; -4.871; -5.428; -3.479 eV per atom.